{
  "formula": "Ho2Pd4Pb",
  "functional": "PBE-GGA",
  "state": "optimized geometry",
  "cell": [[-0.5264, -3.4260, -3.2291], [3.7949, -2.3152, -1.6372], [0.3415, -7.1697, 4.0762]],
  "species": ["Ho", "Ho", "Pd", "Pd", "Pd", "Pd", "Pb"],
  "fractional_positions": [[0.7548, 0.7548, 0.7355], [0.2452, 0.2452, 0.2645], [0.8741, 0.8741, 0.3777], [0.1259, 0.1259, 0.6223], [0.6228, 0.6228, 0.1316], [0.3772, 0.3772, 0.8684], [0.0000, 0.0000, 0.0000]],
  "de_polymorph_mev_per_atom": 0,
  "delta_e_f_ev_per_atom": -0.540,
  "total_energy_ha_per_atom": -0.1964,
  "magmom_total_mub_per_fu": 0.00,
  "dos_at_fermi_per_ev_cell": 4.707
}

{
  "formula": "K3TlF",
  "functional": "PBE-GGA",
  "state": "optimized geometry",
  "cell": [[-4.5530, -2.8277, 1.4253], [2.2291, -1.0891, 4.9600], [-2.2491, 4.6449, 2.0306]],
  "species": ["Tl", "K", "K", "K", "F"],
  "fractional_positions": [[0.5000, 0.5000, 0.5000], [0.0000, 0.5000, 0.0000], [0.0000, 0.0000, 0.5000], [0.5000, 0.0000, 0.0000], [0.0000, 0.0000, 0.0000]],
  "formation_energy_uncorrected_ev_per_atom": -1.0493,
  "de_polymorph_mev_per_atom": 0,
  "total_energy_ha_per_atom": -0.0939,
  "magmom_total_mub_per_fu": 0.00,
  "dos_at_fermi_per_ev_cell": 2.137
}

{
  "formula": "Fe2NiRhAu",
  "functional": "PBE-GGA",
  "state": "optimized geometry",
  "cell": [[-0.8110, 4.4237, -0.5433], [-4.8871, -0.7918, 0.8480], [0.6612, 0.6655, 4.4319]],
  "species": ["Rh", "Au", "Fe", "Fe", "Ni"],
  "fractional_positions": [[0.0000, 0.0000, 0.0000], [0.0000, 0.5000, 0.0000], [0.0000, 0.0000, 0.5000], [0.5000, 0.0000, 0.0000], [0.5000, 0.5000, 0.5000]],
  "delta_e_f_ev_per_atom": 1.372,
  "total_energy_ha_per_atom": -0.1946,
  "magmom_total_mub_per_fu": 8.13,
  "dos_at_fermi_per_ev_cell": 6.537
}

{
  "formula": "BaIn3W",
  "functional": "PBE-GGA",
  "state": "optimized geometry",
  "cell": [[5.9649, 0.0000, 0.0000], [0.0000, 5.9649, 0.0000], [0.0000, 0.0000, 5.9649]],
  "species": ["Ba", "W", "In", "In", "In"],
  "fractional_positions": [[0.0000, 0.0000, 0.0000], [0.5000, 0.5000, 0.5000], [0.0000, 0.5000, 0.0000], [0.0000, 0.0000, 0.5000], [0.5000, 0.0000, 0.0000]],
  "de_polymorph_mev_per_atom": 2331,
  "delta_e_f_ev_per_atom": 2.419,
  "total_energy_ha_per_atom": -0.0808,
  "magmom_total_mub_per_fu": 0.00,
  "dos_at_fermi_per_ev_cell": 10.443
}

{
  "formula": "CsSr3Te",
  "functional": "PBE-GGA",
  "state": "optimized geometry",
  "cell": [[-0.2494, 5.0092, -4.0246], [-6.4255, -0.1571, 0.2027], [0.0596, 4.0293, 5.0113]],
  "species": ["Cs", "Sr", "Sr", "Sr", "Te"],
  "fractional_positions": [[0.0000, 0.0000, 0.0000], [0.0000, 0.5000, 0.0000], [0.0000, 0.0000, 0.5000], [0.5000, 0.0000, 0.0000], [0.5000, 0.5000, 0.5000]],
  "formation_energy_uncorrected_ev_per_atom": 0.7422,
  "de_polymorph_mev_per_atom": 1132,
  "total_energy_ha_per_atom": -0.0392,
  "magmom_total_mub_per_fu": 3.84,
  "dos_at_fermi_per_ev_cell": 5.293
}

{
  "formula": "FeTe2Pb",
  "functional": "PBE-GGA",
  "state": "optimized geometry",
  "cell": [[-5.1326, -2.1205, 0.8200], [-4.4304, -2.2989, -2.5688], [-0.0471, -7.0114, 0.3593]],
  "species": ["Fe", "Pb", "Te", "Te"],
  "fractional_positions": [[0.4668, 0.4668, 0.3751], [0.1893, 0.1893, 0.3762], [0.0012, 0.0012, 0.0826], [0.8427, 0.8427, 0.6662]],
  "formation_energy_uncorrected_ev_per_atom": 0.0669,
  "total_energy_ha_per_atom": -0.1671,
  "magmom_total_mub_per_fu": 2.13,
  "dos_at_fermi_per_ev_cell": 2.882
}

{
  "formula": "CdSiW",
  "functional": "PBE-GGA",
  "state": "optimized geometry",
  "cell": [[-5.8994, -4.4263, 0.0147], [-3.8238, -6.0188, 1.0824], [-1.5595, 0.9154, 2.1713]],
  "species": ["Cd", "Si", "W"],
  "fractional_positions": [[0.9929, 0.9929, 0.0071], [0.6865, 0.6865, 0.3135], [0.3205, 0.3205, 0.6795]],
  "formation_energy_uncorrected_ev_per_atom": 0.4860,
  "de_polymorph_mev_per_atom": 89,
  "total_energy_ha_per_atom": -0.2185,
  "magmom_total_mub_per_fu": 0.00,
  "dos_at_fermi_per_ev_cell": 1.546
}

{
  "formula": "NaTi2PPd",
  "functional": "PBE-GGA",
  "state": "optimized geometry",
  "cell": [[-3.5984, 2.4341, 1.8802], [0.5270, -2.4775, 4.2160], [3.0336, 3.2860, 1.5518]],
  "species": ["P", "Na", "Pd", "Ti", "Ti"],
  "fractional_positions": [[0.5000, 0.5000, 0.5000], [0.0000, 0.5000, 0.0000], [0.0000, 0.0000, 0.0000], [0.0000, 0.0000, 0.5000], [0.5000, 0.0000, 0.0000]],
  "delta_e_f_ev_per_atom": 0.625,
  "total_energy_ha_per_atom": -0.1807,
  "magmom_total_mub_per_fu": 0.00,
  "dos_at_fermi_per_ev_cell": 4.413
}